(1)
This record from Alexandria via LeMat-Bulk describes a geometry-optimized LiAl2SnSe4 structure. The functional is PBE-GGA.

Lattice parameters (Å, degrees): 7.8917 9.1099 12.1157 90.00 90.00 90.00
Space group Fmm2 (No. 42)
Symmetry-distinct sites (fractional):
Li1 0.0000 0.0000 0.0000 [4 per cell]
Al1 0.2500 0.2500 0.2601 [8 per cell]
Sn1 0.0000 0.0000 0.5107 [4 per cell]
Se1 0.0000 0.2191 0.1374 [8 per cell]
Se2 0.2334 0.0000 0.8517 [8 per cell]

Density (g/cm³): 3.78
ΔE_f (raw) (eV/atom): -0.62
E (eV/atom): -4.042

(2)
This record from Alexandria via LeMat-Bulk describes a geometry-optimized Cs3Li2TbCl9 structure. The functional is PBE-GGA.

Lattice parameters (Å, degrees): 7.4271 7.4271 9.2731 90.00 90.00 120.00
Space group P-3m1 (No. 164)
Symmetry-distinct sites (fractional):
Cs1 0.0000 0.0000 0.0000 [1 per cell]
Cs2 0.3333 0.6667 0.6744 [2 per cell]
Li1 0.3333 0.6667 0.1523 [2 per cell]
Tb1 0.0000 0.0000 0.5000 [1 per cell]
Cl1 0.0000 0.5000 0.0000 [3 per cell]
Cl2 0.1677 0.3353 0.3334 [6 per cell]

Density (g/cm³): 3.34
ΔE_f (raw) (eV/atom): -1.87
E (eV/atom): -3.713

(3)
This record from Alexandria via LeMat-Bulk describes a geometry-optimized Ac5Si3 structure. The functional is PBE-GGA.

Lattice parameters (Å, degrees): 8.5678 12.4340 5.0182 90.00 90.00 90.00
Space group Cmmm (No. 65)
Symmetry-distinct sites (fractional):
Ac1 0.0000 0.0000 0.0000 [2 per cell]
Ac2 0.2101 0.5000 0.5000 [4 per cell]
Ac3 0.2500 0.2500 0.0000 [4 per cell]
Si1 0.0000 0.1793 0.5000 [4 per cell]
Si2 0.0000 0.5000 0.0000 [2 per cell]

Density (g/cm³): 7.57
ΔE_f (raw) (eV/atom): -0.28
E (eV/atom): -4.882

(4)
This record from Alexandria via LeMat-Bulk describes a geometry-optimized NaAuCl6 structure. The functional is PBE-GGA.

Lattice parameters (Å, degrees): 7.1860 10.7488 7.6041 90.00 101.24 90.00
Space group C2/m (No. 12)
Symmetry-distinct sites (fractional):
Na1 0.0000 0.0000 0.0000 [2 per cell]
Au1 0.0000 0.0000 0.5000 [2 per cell]
Cl1 0.0353 0.1534 0.2939 [8 per cell]
Cl2 0.0599 0.5000 0.8916 [4 per cell]

Density (g/cm³): 2.49
ΔE_f (raw) (eV/atom): -0.59
E (eV/atom): -2.547